one) Entry from the Alexandria database: crystalline ScCoTe2I at its relaxed geometry (GGA-PBE).

Calculated values
Size of the total moment (μB per atom): 0.528

Cell: 5.590 5.590 5.599 Å, 90.00 90.00 90.00°
Fractional positions:
Sc  0.000  0.000  0.000
Co  0.500  0.500  0.500
Te  0.000  0.500  0.000
Te  0.500  0.000  0.000
I  0.000  0.000  0.500

***

two) Entry from the Alexandria database: crystalline ScCoTe2I at its relaxed geometry (GGA-PBE).

Calculated values
Size of the total moment (μB per atom): 0.030

Cell: 5.076 5.076 5.126 Å, 90.00 90.00 90.00°
Fractional positions:
Sc  0.000  0.000  0.000
Co  0.500  0.500  0.500
Te  0.000  0.500  0.500
Te  0.500  0.000  0.500
I  0.500  0.500  0.000

***

Verdict on stability: two) comes out on top.

***

one) Entry from the Alexandria database: crystalline CoSe2I2 at its relaxed geometry (GGA-PBE).

Calculated values
Size of the total moment (μB per atom): 0.482

Cell: 6.216 6.216 6.216 Å, 120.43 120.43 89.26°
Fractional positions:
Co  0.000  0.000  0.000
Se  0.254  0.254  0.000
Se  0.746  0.746  0.000
I  0.250  0.750  0.500
I  0.750  0.250  0.500

***

two) Entry from the Alexandria database: crystalline CoSe2I2 at its relaxed geometry (GGA-PBE).

Calculated values
Size of the total moment (μB per atom): 0.191

Cell: 6.927 6.927 8.324 Å, 102.83 102.83 103.53°
Fractional positions:
Co  0.143  0.857  0.000
Co  0.857  0.143  0.000
Se  0.069  0.069  0.231
Se  0.207  0.207  0.954
Se  0.793  0.793  0.046
Se  0.931  0.931  0.769
I  0.258  0.643  0.767
I  0.357  0.742  0.233
I  0.643  0.258  0.767
I  0.742  0.357  0.233

***

three) Entry from the Alexandria database: crystalline CoSe2I2 at its relaxed geometry (GGA-PBE).

Calculated values
Size of the total moment (μB per atom): 0.345

Cell: 6.131 6.131 9.899 Å, 90.00 90.00 90.00°
Fractional positions:
Co  0.000  0.000  0.000
Co  0.500  0.500  0.000
Se  0.145  0.355  0.000
Se  0.355  0.855  0.000
Se  0.645  0.145  0.000
Se  0.855  0.645  0.000
I  0.189  0.311  0.500
I  0.311  0.811  0.500
I  0.689  0.189  0.500
I  0.811  0.689  0.500

***

Verdict on stability: two) comes out on top.

***

one) Entry from the Alexandria database: crystalline CoSeI2 at its relaxed geometry (GGA-PBE).

Calculated values
Size of the total moment (μB per atom): 0.345

Cell: 5.182 5.182 5.182 Å, 60.00 60.00 60.00°
Fractional positions:
Co  0.000  0.000  0.000
Se  0.500  0.500  0.500
I  0.250  0.250  0.250
I  0.750  0.750  0.750

***

two) Entry from the Alexandria database: crystalline CoSeI2 at its relaxed geometry (GGA-PBE).

Calculated values
Size of the total moment (μB per atom): 0.244

Cell: 6.942 6.942 6.942 Å, 118.16 118.16 93.21°
Fractional positions:
Co  0.000  0.000  0.000
Co  0.750  0.250  0.500
Se  0.250  0.750  0.500
Se  0.500  0.500  0.000
I  0.057  0.625  0.932
I  0.375  0.307  0.432
I  0.693  0.125  0.068
I  0.875  0.943  0.568

***

Verdict on stability: two) comes out on top.

***

one) Entry from the Alexandria database: crystalline Co2SiI at its relaxed geometry (GGA-PBE).

Calculated values
Size of the total moment (μB per atom): 0.228

Cell: 4.361 4.361 4.361 Å, 60.00 60.00 60.00°
Fractional positions:
Co  0.250  0.250  0.250
Co  0.750  0.750  0.750
Si  0.000  0.000  0.000
I  0.500  0.500  0.500

***

two) Entry from the Alexandria database: crystalline Co2SiI at its relaxed geometry (GGA-PBE).

Calculated values
Size of the total moment (μB per atom): 0.000

Cell: 7.064 7.064 7.064 Å, 138.77 138.77 59.72°
Fractional positions:
Co  0.069  0.625  0.944
Co  0.375  0.319  0.444
Co  0.681  0.125  0.056
Co  0.875  0.931  0.556
Si  0.000  0.000  0.000
Si  0.750  0.250  0.500
I  0.250  0.750  0.500
I  0.500  0.500  0.000

***

Verdict on stability: two) comes out on top.

***

one) Entry from the Alexandria database: crystalline CoSiI3 at its relaxed geometry (GGA-PBE).

Calculated values
Size of the total moment (μB per atom): 0.529

Cell: 5.592 5.592 5.592 Å, 90.00 90.00 90.00°
Fractional positions:
Co  0.000  0.000  0.000
Si  0.500  0.500  0.500
I  0.000  0.500  0.500
I  0.500  0.000  0.500
I  0.500  0.500  0.000

***

two) Entry from the Alexandria database: crystalline CoSiI3 at its relaxed geometry (GGA-PBE).

Calculated values
Size of the total moment (μB per atom): 0.064

Cell: 5.210 5.210 5.210 Å, 90.00 90.00 90.00°
Fractional positions:
Co  0.000  0.000  0.000
Si  0.500  0.500  0.500
I  0.000  0.000  0.500
I  0.000  0.500  0.000
I  0.500  0.000  0.000

***

Verdict on stability: two) comes out on top.

***

one) Entry from the Alexandria database: crystalline Sm3CoI at its relaxed geometry (GGA-PBE).

Calculated values
Size of the total moment (μB per atom): 0.000

Cell: 4.042 7.075 10.100 Å, 90.00 90.00 90.00°
Fractional positions:
Sm  0.250  0.004  0.141
Sm  0.250  0.496  0.141
Sm  0.250  0.750  0.613
Sm  0.750  0.250  0.387
Sm  0.750  0.504  0.859
Sm  0.750  0.996  0.859
Co  0.250  0.750  0.895
Co  0.750  0.250  0.105
I  0.250  0.250  0.647
I  0.750  0.750  0.353

***

two) Entry from the Alexandria database: crystalline Sm3CoI at its relaxed geometry (GGA-PBE).

Calculated values
Size of the total moment (μB per atom): 0.000

Cell: 7.767 7.767 10.543 Å, 106.91 106.91 28.80°
Fractional positions:
Sm  0.029  0.029  0.360
Sm  0.226  0.226  0.645
Sm  0.349  0.349  0.115
Sm  0.651  0.651  0.885
Sm  0.774  0.774  0.355
Sm  0.971  0.971  0.640
Co  0.412  0.412  0.409
Co  0.588  0.588  0.591
I  0.127  0.127  0.123
I  0.873  0.873  0.877

***

Verdict on stability: two) comes out on top.